Crystalline Li4OsRh at its relaxed geometry, computed with PBE-GGA.

Unit cell a=4.700 b=4.700 c=4.700 alpha=60.00 beta=60.00 gamma=60.00
Fractional coordinates of all 6 atoms:
Os  0.750  0.750  0.750
Li  0.375  0.375  0.375
Li  0.375  0.375  0.874
Li  0.874  0.375  0.375
Li  0.375  0.874  0.375
Rh  0.000  0.000  0.000

Output
Spin magnetization: 2.281 μB/cell
ρ: 7.3 Mg/m³
DFT formation energy: 1.80 eV/f.u.
N(E_F): 3.4 states/eV per cell